(1)
KCu2SiIr | Alexandria via LeMat-Bulk | PBE | relaxed; uncorrected formation energy = 1.315 eV per atom
1.0
-2.1501 -3.8533 -0.6201
3.7687 -1.4881 -3.8203
2.4777 -1.8947 3.1823
Ir Cu K Si
1 2 1 1
Cartesian
2.0482 -3.6181 -0.6291
-1.0751 -1.9267 -0.3101
1.2389 -0.9473 1.5911
1.8844 -0.7441 -1.9102
0.0000 0.0000 0.0000

(2)
KCu2SiIr | Alexandria via LeMat-Bulk | PBE | relaxed; uncorrected formation energy = 2.315 eV per atom
1.0
-1.8069 3.8169 -1.4556
-2.0681 0.7683 4.5819
3.6589 2.2199 1.2792
Cu Si K Ir
2 1 1 1
Cartesian
1.8294 1.1100 0.6396
-0.9034 1.9084 -0.7278
-1.0340 0.3842 2.2910
0.0000 0.0000 0.0000
-0.1080 3.4026 2.2028

(3)
The following is a DFT calculation (PBE) of a geometry-optimized LaCu2Ir2 structure.

Structure (POSCAR):
```
LaCu2Ir2
1.0
-0.2646 -3.7661 1.2052
1.8159 0.9573 3.3900
-4.1829 -0.3054 4.6434
Ir Cu La
2 2 1
Cartesian
-0.7957 -0.3762 5.1655
-1.8359 -2.7379 4.0731
-0.2812 -1.1701 2.7976
-2.3504 -1.9440 6.4410
0.0000 0.0000 0.0000
```

(4)
The following is a DFT calculation (PBE) of a geometry-optimized LaCuIr structure.

Structure (POSCAR):
```
LaCuIr
1.0
5.0494 0.0000 0.0007
2.5244 5.3179 0.0767
2.5253 1.2530 5.1691
La Ir Cu
2 2 2
Cartesian
9.2006 5.2790 4.9947
4.1511 1.9936 2.3713
5.4135 2.6201 4.9559
7.9383 2.6201 4.9562
6.6766 4.0652 3.1472
4.1500 5.2420 1.6739
```

| no. | uncorrected energy (eV per atom) |
| --- | --- |
| 1 | -3.400 |
| 2 | -2.399 |
| 3 | -6.286 |
| 4 | -6.258 |